Computed, not measured: crystalline NaTi4O8 at its relaxed geometry at the PBEsol level of DFT.

Values from the calculation:
DFT total energy	-457.6	eV for the cell shown
formation energy (no corrections)	-2.90	eV/atom
SG	No. 14

abc: 5.8707 9.5439 11.1761
angles: 90.00 90.00 90.05
With the nearest neighbours (Å) after each atom.
Sites, in units of the cell vectors:
Na  0.8563  0.0781  0.6069  4 O 2.29-2.50
Na  0.6437  0.4219  0.1069  4 O 2.29-2.50
Na  0.3563  0.5781  0.8931  4 O 2.29-2.50
Na  0.1437  0.9219  0.3931  4 O 2.29-2.50
Ti  0.8755  0.0173  0.1242  6 O 1.90-2.09
Ti  0.3768  0.0164  0.1239  6 O 1.89-2.09
Ti  0.6245  0.2287  0.3472  3 O 1.83-1.98
Ti  0.1280  0.2433  0.3361  6 O 1.89-2.04
Ti  0.8755  0.2713  0.8472  3 O 1.83-1.98
Ti  0.3720  0.2567  0.8361  6 O 1.89-2.04
Ti  0.1232  0.4836  0.6239  6 O 1.89-2.09
Ti  0.6245  0.4827  0.6242  6 O 1.90-2.09
Ti  0.8768  0.5164  0.3761  6 O 1.89-2.09
Ti  0.3755  0.5173  0.3758  6 O 1.90-2.09
Ti  0.1245  0.7287  0.1528  3 O 1.83-1.98
Ti  0.6280  0.7433  0.1639  6 O 1.89-2.04
Ti  0.8720  0.7567  0.6639  6 O 1.89-2.04
Ti  0.3755  0.7713  0.6528  3 O 1.83-1.98
Ti  0.6232  0.9836  0.8761  6 O 1.89-2.09
Ti  0.1245  0.9827  0.8758  6 O 1.90-2.09
O  0.8753  0.1022  0.9610  4 Ti 2.00-2.09
O  0.3732  0.0997  0.9597  4 Ti 2.00-2.06
O  0.6284  0.1383  0.7706  3 Ti 1.89-2.11
O  0.1181  0.1380  0.7700  3 Ti 1.90-2.10
O  0.6262  0.1263  0.1927  3 Ti 1.95-1.98
O  0.1263  0.1198  0.1968  3 Ti 1.94-1.95
O  0.8830  0.1443  0.4108  2 Ti 1.86-1.91
O  0.3693  0.1430  0.4072  2 Ti 1.83-1.89
O  0.6170  0.3557  0.9108  2 Ti 1.86-1.91
O  0.1307  0.3570  0.9072  2 Ti 1.83-1.89
O  0.8738  0.3737  0.6927  3 Ti 1.95-1.98
O  0.3737  0.3802  0.6968  3 Ti 1.94-1.95
O  0.8716  0.3617  0.2706  3 Ti 1.89-2.11
O  0.3819  0.3620  0.2700  3 Ti 1.90-2.10
O  0.6247  0.3978  0.4610  4 Ti 2.00-2.09
O  0.1268  0.4003  0.4597  4 Ti 2.00-2.06
O  0.8732  0.5997  0.5403  4 Ti 2.00-2.06
O  0.3753  0.6022  0.5390  4 Ti 2.00-2.09
O  0.6181  0.6380  0.7300  3 Ti 1.90-2.10
O  0.1284  0.6383  0.7294  3 Ti 1.89-2.11
O  0.6263  0.6198  0.3032  3 Ti 1.94-1.95
O  0.1262  0.6263  0.3073  3 Ti 1.95-1.98
O  0.8693  0.6430  0.0928  2 Ti 1.83-1.89
O  0.3830  0.6443  0.0892  2 Ti 1.86-1.91
O  0.6307  0.8570  0.5928  2 Ti 1.83-1.89
O  0.1170  0.8557  0.5892  2 Ti 1.86-1.91
O  0.8737  0.8802  0.8032  3 Ti 1.94-1.95
O  0.3738  0.8737  0.8073  3 Ti 1.95-1.98
O  0.8819  0.8620  0.2300  3 Ti 1.90-2.10
O  0.3716  0.8617  0.2294  3 Ti 1.89-2.11
O  0.6268  0.9003  0.0403  4 Ti 2.00-2.06
O  0.1247  0.8978  0.0390  4 Ti 2.00-2.09